First-principles (PBE with a Hubbard U) data for a relaxed structure of K2VZnO4, as listed in Alexandria via LeMat-Bulk.

Cell and atoms, written as CIF:
```
data_K2VZnO4
_chemical_formula_sum 'K4 V2 Zn2 O8'
_cell_length_a 6.0764
_cell_length_b 6.7057
_cell_length_c 6.5096
_cell_angle_alpha 90.00
_cell_angle_beta 90.00
_cell_angle_gamma 90.00
_space_group_name_H-M_alt 'P m m n'
_space_group_IT_number 59
loop_
_space_group_symop_operation_xyz
'x,y,z'
'-x,-y,-z'
'-x+1/2,-y+1/2,z'
'x+1/2,y+1/2,-z'
'x+1/2,-y,-z'
'-x+1/2,y,z'
'-x,y+1/2,-z'
'x,-y+1/2,z'
loop_
_atom_site_label
_atom_site_type_symbol
_atom_site_fract_x
_atom_site_fract_y
_atom_site_fract_z
_atom_site_occupancy
K1 K 0.2500 0.0026 0.2292 1
V1 V 0.2500 0.2500 0.6771 1
Zn1 Zn 0.2500 0.7500 0.6727 1
O1 O 0.0023 0.2500 0.5230 1
O2 O 0.2500 0.0111 0.8198 1
```

Properties
- Size of the total moment: 2.00 μB/cell
- E_tot: -5.5631 eV/atom